Below is a PBEsol-optimized structure of BeIr3, with properties calculated at the meta-GGA SCAN level.

Summary:
For the total energy, the calculation gives -54.73 eV per atom. The density of states at the Fermi level is 2.29 states/eV per cell. The value obtained for the formation energy is -319.7 meV/atom.

a b c (Å): 2.7428 2.7428 6.5893
angles (deg): 90.00 90.00 90.00
Closest atoms and distances in Å follow each position.
Space group P4/mmm (No. 123)
One atom of each set of equivalent atoms:
Be: 0.0000 0.0000 0.0000 (multiplicity 1)  8 Ir 2.39
Ir: 0.0000 0.0000 0.5000 (multiplicity 1)  12 Ir 2.72-2.74
Ir: 0.5000 0.5000 0.2115 (multiplicity 2)  4 Be 2.39

=====

Below is a PBEsol-optimized structure of CuSbOs2, with properties calculated at the meta-GGA SCAN level.

Summary:
For the total energy, the calculation gives -48.25 eV per atom. The density of states at the Fermi level is 3.44 states/eV per cell. The formation energy from raw total energies is 0.808 eV per atom.

a b c (Å): 2.8987 4.4645 4.7080
angles (deg): 90.00 90.00 90.00
Closest atoms and distances in Å follow each position.
Space group Pmmm (No. 47)
One atom of each set of equivalent atoms:
Cu: 0.0000 0.0000 0.0000 (multiplicity 1)  4 Os 2.66, 4 Sb 2.76, 2 Cu 2.90
Sb: 0.5000 0.0000 0.5000 (multiplicity 1)  4 Os 2.66, 4 Cu 2.76, 2 Sb 2.90
Os: 0.0000 0.5000 0.5000 (multiplicity 1)  4 Sb 2.66, 6 Os 2.76-2.90
Os: 0.5000 0.5000 0.0000 (multiplicity 1)  4 Cu 2.66, 6 Os 2.76-2.90